#P
The following is a DFT calculation (PBE) of a geometry-optimized SrCeMg2 structure.

Structure (CIF):
```
data_SrCeMg2
_chemical_formula_sum 'Sr3 Ce3 Mg6'
_symmetry_space_group_name_H-M 'R -3 m'
_symmetry_Int_Tables_number 166
_symmetry_space_group_name_Hall '-R 3 2"'
_cell_length_a 3.5705
_cell_length_b 3.5705
_cell_length_c 34.4793
_cell_angle_alpha 90.00
_cell_angle_beta 90.00
_cell_angle_gamma 120.00
loop_
_atom_site_label
_atom_site_type_symbol
_atom_site_fract_x
_atom_site_fract_y
_atom_site_fract_z
Sr1 Sr 0.0000 0.0000 0.0000
Ce1 Ce 0.0000 0.0000 0.5000
Mg1 Mg 0.0000 0.0000 0.2474
```


#Q
The following is a DFT calculation (PBE) of a geometry-optimized SrCeMg2 structure.

Structure (CIF):
```
data_SrCeMg2
_chemical_formula_sum 'Sr4 Ce4 Mg8'
_symmetry_space_group_name_H-M 'F m -3 m'
_symmetry_Int_Tables_number 225
_symmetry_space_group_name_Hall '-F 4 2 3'
_cell_length_a 8.0296
_cell_length_b 8.0296
_cell_length_c 8.0296
_cell_angle_alpha 90.00
_cell_angle_beta 90.00
_cell_angle_gamma 90.00
loop_
_atom_site_label
_atom_site_type_symbol
_atom_site_fract_x
_atom_site_fract_y
_atom_site_fract_z
Sr1 Sr 0.0000 0.0000 0.0000
Ce1 Ce 0.0000 0.0000 0.5000
Mg1 Mg 0.2500 0.2500 0.2500
```


#R
The following is a DFT calculation (PBE) of a geometry-optimized SrCeMg2 structure.

Structure (CIF):
```
data_SrCeMg2
_chemical_formula_sum 'Sr1 Ce1 Mg2'
_symmetry_space_group_name_H-M 'P 4/m m m'
_symmetry_Int_Tables_number 123
_symmetry_space_group_name_Hall '-P 4 2'
_cell_length_a 3.9928
_cell_length_b 3.9928
_cell_length_c 8.1029
_cell_angle_alpha 90.00
_cell_angle_beta 90.00
_cell_angle_gamma 90.00
loop_
_atom_site_label
_atom_site_type_symbol
_atom_site_fract_x
_atom_site_fract_y
_atom_site_fract_z
Sr1 Sr 0.0000 0.0000 0.0000
Ce1 Ce 0.0000 0.0000 0.5000
Mg1 Mg 0.5000 0.5000 0.2761
```


#R is the most stable structure; the next one sits 3.8 kJ/mol of atoms above it.


#P
The following is a DFT calculation (PBE) of a geometry-optimized TbCeMg6 structure.

Structure (CIF):
```
data_TbCeMg6
_chemical_formula_sum 'Tb1 Ce1 Mg6'
_symmetry_space_group_name_H-M 'P 4/m m m'
_symmetry_Int_Tables_number 123
_symmetry_space_group_name_Hall '-P 4 2'
_cell_length_a 6.7515
_cell_length_b 6.7515
_cell_length_c 4.5567
_cell_angle_alpha 90.00
_cell_angle_beta 90.00
_cell_angle_gamma 90.00
loop_
_atom_site_label
_atom_site_type_symbol
_atom_site_fract_x
_atom_site_fract_y
_atom_site_fract_z
Tb1 Tb 0.0000 0.0000 0.0000
Ce1 Ce 0.5000 0.5000 0.0000
Mg1 Mg 0.0000 0.5000 0.0000
Mg2 Mg 0.2475 0.2475 0.5000
```


#Q
The following is a DFT calculation (PBE) of a geometry-optimized TbCeMg6 structure.

Structure (CIF):
```
data_TbCeMg6
_chemical_formula_sum 'Tb1 Ce1 Mg6'
_symmetry_space_group_name_H-M 'P -6 m 2'
_symmetry_Int_Tables_number 187
_symmetry_space_group_name_Hall 'P -6 2'
_cell_length_a 6.7282
_cell_length_b 6.7282
_cell_length_c 5.2055
_cell_angle_alpha 90.00
_cell_angle_beta 90.00
_cell_angle_gamma 120.00
loop_
_atom_site_label
_atom_site_type_symbol
_atom_site_fract_x
_atom_site_fract_y
_atom_site_fract_z
Tb1 Tb 0.0000 0.0000 0.0000
Ce1 Ce 0.3333 0.6667 0.5000
Mg1 Mg 0.3391 0.1695 0.5000
Mg2 Mg 0.5033 0.0066 0.0000
```


#Q is the most stable structure; the next one sits 3.0 kJ/mol of atoms above it.


#P
The following is a DFT calculation (PBE) of a geometry-optimized Tb2CeMg structure.

Structure (CIF):
```
data_Tb2CeMg
_chemical_formula_sum 'Tb2 Ce1 Mg1'
_symmetry_space_group_name_H-M 'P 4/m m m'
_symmetry_Int_Tables_number 123
_symmetry_space_group_name_Hall '-P 4 2'
_cell_length_a 4.9279
_cell_length_b 4.9279
_cell_length_c 4.8542
_cell_angle_alpha 90.00
_cell_angle_beta 90.00
_cell_angle_gamma 90.00
loop_
_atom_site_label
_atom_site_type_symbol
_atom_site_fract_x
_atom_site_fract_y
_atom_site_fract_z
Tb1 Tb 0.0000 0.5000 0.0000
Ce1 Ce 0.0000 0.0000 0.5000
Mg1 Mg 0.5000 0.5000 0.5000
```


#Q
The following is a DFT calculation (PBE) of a geometry-optimized Tb2CeMg structure.

Structure (CIF):
```
data_Tb2CeMg
_chemical_formula_sum 'Tb8 Ce4 Mg4'
_symmetry_space_group_name_H-M 'F -4 3 m'
_symmetry_Int_Tables_number 216
_symmetry_space_group_name_Hall 'F -4 2 3'
_cell_length_a 7.8023
_cell_length_b 7.8023
_cell_length_c 7.8023
_cell_angle_alpha 90.00
_cell_angle_beta 90.00
_cell_angle_gamma 90.00
loop_
_atom_site_label
_atom_site_type_symbol
_atom_site_fract_x
_atom_site_fract_y
_atom_site_fract_z
Tb1 Tb 0.0000 0.0000 0.0000
Tb2 Tb 0.2500 0.2500 0.2500
Ce1 Ce 0.2500 0.2500 0.7500
Mg1 Mg 0.0000 0.0000 0.5000
```


#P is the most stable structure; the next one sits 2.4 kJ/mol of atoms above it.


#P
The following is a DFT calculation (PBE) of a geometry-optimized TbCeMg2 structure.

Structure (CIF):
```
data_TbCeMg2
_chemical_formula_sum 'Tb1 Ce1 Mg2'
_symmetry_space_group_name_H-M 'P 4/m m m'
_symmetry_Int_Tables_number 123
_symmetry_space_group_name_Hall '-P 4 2'
_cell_length_a 5.4366
_cell_length_b 5.4366
_cell_length_c 3.7557
_cell_angle_alpha 90.00
_cell_angle_beta 90.00
_cell_angle_gamma 90.00
loop_
_atom_site_label
_atom_site_type_symbol
_atom_site_fract_x
_atom_site_fract_y
_atom_site_fract_z
Tb1 Tb 0.0000 0.0000 0.0000
Ce1 Ce 0.5000 0.5000 0.0000
Mg1 Mg 0.0000 0.5000 0.5000
```


#Q
The following is a DFT calculation (PBE) of a geometry-optimized TbCeMg2 structure.

Structure (CIF):
```
data_TbCeMg2
_chemical_formula_sum 'Tb3 Ce3 Mg6'
_symmetry_space_group_name_H-M 'R -3 m'
_symmetry_Int_Tables_number 166
_symmetry_space_group_name_Hall '-R 3 2"'
_cell_length_a 3.2808
_cell_length_b 3.2808
_cell_length_c 34.6671
_cell_angle_alpha 90.00
_cell_angle_beta 90.00
_cell_angle_gamma 120.00
loop_
_atom_site_label
_atom_site_type_symbol
_atom_site_fract_x
_atom_site_fract_y
_atom_site_fract_z
Tb1 Tb 0.0000 0.0000 0.0000
Ce1 Ce 0.0000 0.0000 0.5000
Mg1 Mg 0.0000 0.0000 0.2506
```


#R
The following is a DFT calculation (PBE) of a geometry-optimized TbCeMg2 structure.

Structure (CIF):
```
data_TbCeMg2
_chemical_formula_sum 'Tb4 Ce4 Mg8'
_symmetry_space_group_name_H-M 'F m -3 m'
_symmetry_Int_Tables_number 225
_symmetry_space_group_name_Hall '-F 4 2 3'
_cell_length_a 7.6292
_cell_length_b 7.6292
_cell_length_c 7.6292
_cell_angle_alpha 90.00
_cell_angle_beta 90.00
_cell_angle_gamma 90.00
loop_
_atom_site_label
_atom_site_type_symbol
_atom_site_fract_x
_atom_site_fract_y
_atom_site_fract_z
Tb1 Tb 0.0000 0.0000 0.0000
Ce1 Ce 0.0000 0.0000 0.5000
Mg1 Mg 0.2500 0.2500 0.2500
```


#R is the most stable structure; the next one sits 0.8 kJ/mol of atoms above it.


#P
The following is a DFT calculation (PBE) of a geometry-optimized CeMgTc structure.

Structure (CIF):
```
data_CeMgTc
_chemical_formula_sum 'Ce2 Mg2 Tc2'
_symmetry_space_group_name_H-M 'I 4 m m'
_symmetry_Int_Tables_number 107
_symmetry_space_group_name_Hall 'I 4 -2'
_cell_length_a 3.3358
_cell_length_b 3.3358
_cell_length_c 11.8309
_cell_angle_alpha 90.00
_cell_angle_beta 90.00
_cell_angle_gamma 90.00
loop_
_atom_site_label
_atom_site_type_symbol
_atom_site_fract_x
_atom_site_fract_y
_atom_site_fract_z
Ce1 Ce 0.0000 0.0000 0.0000
Mg1 Mg 0.0000 0.0000 0.7320
Tc1 Tc 0.0000 0.0000 0.3708
```


#Q
The following is a DFT calculation (PBE) of a geometry-optimized CeMgTc structure.

Structure (CIF):
```
data_CeMgTc
_chemical_formula_sum 'Ce2 Mg2 Tc2'
_symmetry_space_group_name_H-M 'P 1 21/m 1'
_symmetry_Int_Tables_number 11
_cell_length_a 5.0449
_cell_length_b 4.9084
_cell_length_c 5.6436
_cell_angle_alpha 90.00
_cell_angle_beta 101.36
_cell_angle_gamma 90.00
loop_
_symmetry_equiv_pos_as_xyz
'x,y,z'
'-x,-y,-z'
'-x,y+1/2,-z'
'x,-y+1/2,z'
loop_
_atom_site_label
_atom_site_type_symbol
_atom_site_fract_x
_atom_site_fract_y
_atom_site_fract_z
Ce1 Ce 0.0513 0.2500 0.3040
Mg1 Mg 0.4729 0.2500 0.8563
Tc1 Tc 0.3674 0.7500 0.5997
```


#Q is the most stable structure; the next one sits 18.7 kJ/mol of atoms above it.


#P
The following is a DFT calculation (PBE) of a geometry-optimized Ce2MgTe structure.

Structure (CIF):
```
data_Ce2MgTe
_chemical_formula_sum 'Ce6 Mg3 Te3'
_symmetry_space_group_name_H-M 'R -3 m'
_symmetry_Int_Tables_number 166
_symmetry_space_group_name_Hall '-R 3 2"'
_cell_length_a 3.8012
_cell_length_b 3.8012
_cell_length_c 33.8280
_cell_angle_alpha 90.00
_cell_angle_beta 90.00
_cell_angle_gamma 120.00
loop_
_atom_site_label
_atom_site_type_symbol
_atom_site_fract_x
_atom_site_fract_y
_atom_site_fract_z
Ce1 Ce 0.0000 0.0000 0.1016
Mg1 Mg 0.0000 0.0000 0.0000
Te1 Te 0.0000 0.0000 0.5000
```


#Q
The following is a DFT calculation (PBE) of a geometry-optimized Ce2MgTe structure.

Structure (CIF):
```
data_Ce2MgTe
_chemical_formula_sum 'Ce2 Mg1 Te1'
_symmetry_space_group_name_H-M 'P 4/m m m'
_symmetry_Int_Tables_number 123
_symmetry_space_group_name_Hall '-P 4 2'
_cell_length_a 4.0134
_cell_length_b 4.0134
_cell_length_c 7.0667
_cell_angle_alpha 90.00
_cell_angle_beta 90.00
_cell_angle_gamma 90.00
loop_
_atom_site_label
_atom_site_type_symbol
_atom_site_fract_x
_atom_site_fract_y
_atom_site_fract_z
Ce1 Ce 0.0000 0.0000 0.2408
Mg1 Mg 0.5000 0.5000 0.5000
Te1 Te 0.5000 0.5000 0.0000
```


#Q is the most stable structure; the next one sits 37.2 kJ/mol of atoms above it.